Density functional theory data (PBE) for a relaxed structure of Cs3Hg9Sb2.

Cell: 8.012 8.012 9.699 Å, 90.00 90.00 120.00°
Sites, in units of the cell vectors:
Cs: 0.000 0.000 0.000
Cs: 0.333 0.667 0.342
Cs: 0.667 0.333 0.658
Hg: 0.000 0.500 0.000
Hg: 0.138 0.275 0.639
Hg: 0.138 0.862 0.639
Hg: 0.275 0.138 0.361
Hg: 0.500 0.000 0.000
Hg: 0.500 0.500 0.000
Hg: 0.725 0.862 0.639
Hg: 0.862 0.138 0.361
Hg: 0.862 0.725 0.361
Sb: 0.333 0.667 0.825
Sb: 0.667 0.333 0.175

Total moment = 0.00 μB per atom
Uncorrected formation energy = -0.158 eV per atom
D(E_F) = 5.31 states/eV per cell

***

Density functional theory data (PBE) for a relaxed structure of CsHgSb.

Cell: 7.959 7.959 7.989 Å, 113.17 113.17 35.13°
Sites, in units of the cell vectors:
Cs: 0.000 0.000 0.000
Cs: 0.677 0.677 0.657
Hg: 0.315 0.315 0.099
Hg: 0.715 0.715 0.208
Sb: 0.368 0.368 0.549
Sb: 0.946 0.946 0.456

Total moment = 0.00 μB per atom
Uncorrected formation energy = -0.309 eV per atom
D(E_F) = 0.00 states/eV per cell

***

Density functional theory data (PBE) for a relaxed structure of CsHg3Sb3.

Cell: 8.093 8.093 8.093 Å, 90.00 90.00 90.00°
Sites, in units of the cell vectors:
Cs: 0.000 0.000 0.000
Cs: 0.500 0.500 0.500
Hg: 0.000 0.250 0.500
Hg: 0.000 0.750 0.500
Hg: 0.250 0.500 0.000
Hg: 0.500 0.000 0.250
Hg: 0.500 0.000 0.750
Hg: 0.750 0.500 0.000
Sb: 0.000 0.500 0.250
Sb: 0.000 0.500 0.750
Sb: 0.250 0.000 0.500
Sb: 0.500 0.250 0.000
Sb: 0.500 0.750 0.000
Sb: 0.750 0.000 0.500

Total moment = 0.00 μB per atom
Uncorrected formation energy = -0.088 eV per atom
D(E_F) = 9.92 states/eV per cell

***

Density functional theory data (PBE) for a relaxed structure of Cs12Hg5Sb3.

Cell: 19.217 19.217 19.217 Å, 109.47 109.47 109.47°
Sites, in units of the cell vectors:
Cs: 0.063 0.234 0.139
Cs: 0.063 0.330 0.924
Cs: 0.076 0.639 0.406
Cs: 0.076 0.937 0.670
Cs: 0.094 0.734 0.670
Cs: 0.094 0.861 0.424
Cs: 0.139 0.063 0.234
Cs: 0.139 0.576 0.906
Cs: 0.170 0.234 0.594
Cs: 0.170 0.437 0.576
Cs: 0.234 0.139 0.063
Cs: 0.234 0.594 0.170
Cs: 0.266 0.330 0.906
Cs: 0.266 0.437 0.361
Cs: 0.330 0.906 0.266
Cs: 0.330 0.924 0.063
Cs: 0.361 0.266 0.437
Cs: 0.361 0.594 0.924
Cs: 0.406 0.076 0.639
Cs: 0.406 0.830 0.766
Cs: 0.424 0.094 0.861
Cs: 0.424 0.830 0.563
Cs: 0.437 0.361 0.266
Cs: 0.437 0.576 0.170
Cs: 0.563 0.424 0.830
Cs: 0.563 0.639 0.734
Cs: 0.576 0.170 0.437
Cs: 0.576 0.906 0.139
Cs: 0.594 0.170 0.234
Cs: 0.594 0.924 0.361
Cs: 0.639 0.406 0.076
Cs: 0.639 0.734 0.563
Cs: 0.670 0.076 0.937
Cs: 0.670 0.094 0.734
Cs: 0.734 0.563 0.639
Cs: 0.734 0.670 0.094
Cs: 0.766 0.406 0.830
Cs: 0.766 0.861 0.937
Cs: 0.830 0.563 0.424
Cs: 0.830 0.766 0.406
Cs: 0.861 0.424 0.094
Cs: 0.861 0.937 0.766
Cs: 0.906 0.139 0.576
Cs: 0.906 0.266 0.330
Cs: 0.924 0.063 0.330
Cs: 0.924 0.361 0.594
Cs: 0.937 0.670 0.076
Cs: 0.937 0.766 0.861
Hg: 0.000 0.000 0.000
Hg: 0.000 0.000 0.500
Hg: 0.000 0.500 0.000
Hg: 0.000 0.500 0.500
Hg: 0.125 0.750 0.875
Hg: 0.125 0.875 0.250
Hg: 0.250 0.125 0.875
Hg: 0.250 0.625 0.375
Hg: 0.375 0.250 0.625
Hg: 0.375 0.625 0.750
Hg: 0.500 0.000 0.000
Hg: 0.500 0.000 0.500
Hg: 0.500 0.500 0.000
Hg: 0.500 0.500 0.500
Hg: 0.625 0.375 0.250
Hg: 0.625 0.750 0.375
Hg: 0.750 0.375 0.625
Hg: 0.750 0.875 0.125
Hg: 0.875 0.125 0.750
Hg: 0.875 0.250 0.125
Sb: 0.125 0.250 0.375
Sb: 0.125 0.375 0.750
Sb: 0.250 0.375 0.125
Sb: 0.250 0.875 0.625
Sb: 0.375 0.125 0.250
Sb: 0.375 0.750 0.125
Sb: 0.625 0.250 0.875
Sb: 0.625 0.875 0.750
Sb: 0.750 0.125 0.375
Sb: 0.750 0.625 0.875
Sb: 0.875 0.625 0.250
Sb: 0.875 0.750 0.625

Total moment = 0.00 μB per atom
Uncorrected formation energy = -0.170 eV per atom
D(E_F) = 62.66 states/eV per cell

***

Density functional theory data (PBE) for a relaxed structure of CsHgSb.

Cell: 12.795 7.755 5.593 Å, 90.00 90.00 90.00°
Sites, in units of the cell vectors:
Cs: 0.216 0.250 0.161
Cs: 0.284 0.750 0.661
Cs: 0.716 0.250 0.339
Cs: 0.784 0.750 0.839
Hg: 0.000 0.000 0.500
Hg: 0.000 0.500 0.500
Hg: 0.500 0.000 0.000
Hg: 0.500 0.500 0.000
Sb: 0.055 0.750 0.176
Sb: 0.445 0.250 0.676
Sb: 0.555 0.750 0.324
Sb: 0.945 0.250 0.824

Total moment = 0.00 μB per atom
Uncorrected formation energy = -0.328 eV per atom
D(E_F) = 0.00 states/eV per cell

***

Density functional theory data (PBE) for a relaxed structure of CsHgSb3.

Cell: 8.154 8.154 8.154 Å, 66.90 66.90 66.90°
Sites, in units of the cell vectors:
Cs: 0.225 0.225 0.225
Cs: 0.775 0.775 0.775
Hg: 0.420 0.420 0.420
Hg: 0.580 0.580 0.580
Sb: 0.189 0.189 0.767
Sb: 0.189 0.767 0.189
Sb: 0.233 0.811 0.811
Sb: 0.767 0.189 0.189
Sb: 0.811 0.233 0.811
Sb: 0.811 0.811 0.233

Total moment = 0.00 μB per atom
Uncorrected formation energy = -0.079 eV per atom
D(E_F) = 4.43 states/eV per cell
Polymorph energy (0 for the lowest one) = 0.000 eV/f.u.